--- P ---
YNb2Cr: relaxed, PBE-GGA.

The density of states at the Fermi level is 1.356 states/eV per atom. Its total magnetization is 6.479 Bohr magnetons per cell.

It has space group I4_1/amd (No. 141, origin choice 2), with a = 4.8243 Å, b = 4.8243 Å, c = 17.8358 Å, α = 90.00°, β = 90.00° and γ = 90.00°. The distinct sites, in fractional coordinates, are Y at (0.0000, 0.2500, 0.3750), Nb at (0.0000, 0.0000, 0.0000) and Cr at (0.0000, 0.2500, 0.8750).


--- Q ---
YNb2Cr: relaxed, PBE-GGA.

The density of states at the Fermi level is 1.173 states/eV per atom. Its total magnetization is 0.000 Bohr magnetons per cell.

It has space group Fm-3m (No. 225), with a = 6.6488 Å, b = 6.6488 Å, c = 6.6488 Å, α = 90.00°, β = 90.00° and γ = 90.00°. The distinct sites, in fractional coordinates, are Y at (0.0000, 0.0000, 0.0000), Nb at (0.2500, 0.2500, 0.2500) and Cr at (0.0000, 0.0000, 0.5000).


Q comes first in stability; the runner-up is 0.649 eV/atom higher.